ZrTa3C4 after structural relaxation, computed with PBE-GGA.

Properties
formation energy	-0.65	eV/atom
total DFT energy (no corrections)	-0.7922	Ry per atom

abc: 4.5336 4.5336 4.5336
angles: 90.00 90.00 90.00
Last column: nearest neighbours and their distance in Å.
Positions (direct):
C (0.5000, 0.0000, 0.0000)  2 Zr 2.27, 4 Ta 2.27
C (0.0000, 0.5000, 0.0000)  4 Ta 2.27, 2 Zr 2.27
C (0.0000, 0.0000, 0.5000)  4 Ta 2.27, 2 Zr 2.27
C (0.5000, 0.5000, 0.5000)  6 Ta 2.27
Zr (0.0000, 0.0000, 0.0000)  6 C 2.27
Ta (0.0000, 0.5000, 0.5000)  6 C 2.27
Ta (0.5000, 0.0000, 0.5000)  6 C 2.27
Ta (0.5000, 0.5000, 0.0000)  6 C 2.27